# 1
6
Lattice="0.000 3.562 3.562 3.562 0.000 3.562 3.562 3.562 0.000" Properties=species:S:1:pos:R:3 comment="TbInCu4 SCAN PBEsol geometry" delta_e_f_ev_per_atom=-0.32 space_group=F-43m pbc="T T T"
Tb 0.000 0.000 0.000
In 1.781 1.781 1.781
Cu 4.450 2.674 2.674
Cu 2.674 4.450 2.674
Cu 2.674 2.674 4.450
Cu 4.450 4.450 4.450

# 2
13
Lattice="-2.755 4.642 4.618 2.755 -4.642 4.618 2.755 4.642 -4.618" Properties=species:S:1:pos:R:3 comment="TbIn7Cu5 SCAN PBEsol geometry" delta_e_f_ev_per_atom=-0.12 space_group=Imm2 pbc="T T T"
Tb 0.000 0.000 0.000
In 2.755 1.769 0.127
In 2.755 -1.510 4.499
In 0.000 0.000 3.106
In 2.755 1.510 4.499
In 0.000 0.000 6.047
In 0.000 4.642 2.482
In 0.000 2.873 4.746
Cu 1.419 2.374 -2.307
Cu 4.092 2.374 -2.307
Cu 2.755 0.000 2.187
Cu -1.336 2.267 2.312
Cu 1.336 2.267 2.312

# 3
5
Lattice="4.757 0.000 0.000 0.000 4.757 0.000 0.000 0.000 4.849" Properties=species:S:1:pos:R:3 comment="InCuTc2W SCAN PBEsol geometry" delta_e_f_ev_per_atom=2.90 space_group=P4/mmm pbc="T T T"
In 0.000 0.000 0.000
Cu 2.378 2.378 2.425
Tc 0.000 2.378 0.000
Tc 2.378 0.000 0.000
W 0.000 0.000 2.425

# 4
3
Lattice="0.000 3.268 3.268 3.268 0.000 3.268 3.268 3.268 0.000" Properties=species:S:1:pos:R:3 comment="InCuTe SCAN PBEsol geometry" formation_energy_uncorrected_mev_per_atom=33 space_group=F-43m pbc="T T T"
In 0.000 0.000 0.000
Cu 1.634 1.634 1.634
Te 3.268 3.268 3.268

# 5
3
Lattice="-1.549 1.742 6.015 1.549 -1.742 6.015 1.549 1.742 -6.015" Properties=species:S:1:pos:R:3 comment="InCuTe SCAN PBEsol geometry" formation_energy_uncorrected_mev_per_atom=210 space_group=Imm2 pbc="T T T"
In 0.000 0.000 0.000
Cu 0.000 0.000 7.712
Te 0.000 0.000 3.293

# 6
14
Lattice="4.342 -6.165 0.000 4.342 6.165 0.000 -0.027 0.000 8.684" Properties=species:S:1:pos:R:3 comment="In5CuTe8 SCAN PBEsol geometry" formation_energy_uncorrected_mev_per_atom=-337 space_group=C2 pbc="T T T"
In 0.000 0.000 0.000
In 2.259 3.202 2.107
In 6.399 3.202 6.578
In 4.329 0.231 4.342
In 4.329 -6.052 4.342
Cu 4.342 0.137 0.000
Te 4.048 1.715 6.683
Te 2.178 -1.622 4.054
Te 2.356 -1.463 0.235
Te 4.610 1.715 2.002
Te 4.073 -4.308 2.148
Te 6.302 -1.463 8.450
Te 6.480 -1.622 4.630
Te 4.585 -4.308 6.536

# 7
4
Lattice="0.000 3.366 3.366 3.366 0.000 3.366 3.366 3.366 0.000" Properties=species:S:1:pos:R:3 comment="ThInCu2 SCAN PBEsol geometry" delta_e_f_ev_per_atom=-0.24 space_group=Fm-3m pbc="T T T"
Th 0.000 0.000 0.000
In 3.366 3.366 3.366
Cu 1.683 1.683 1.683
Cu 5.049 5.049 5.049

# 8
28
Lattice="8.208 0.000 0.000 0.000 5.012 0.000 0.000 0.000 10.477" Properties=species:S:1:pos:R:3 comment="ThInCu5 SCAN PBEsol geometry" delta_e_f_ev_per_atom=-0.22 space_group=Pnma pbc="T T T"
Th 2.030 1.253 0.629
Th 2.074 3.759 5.868
Th 6.134 1.253 4.609
Th 6.178 3.759 9.848
In 1.140 3.759 9.028
In 2.963 1.253 3.789
In 5.244 3.759 6.688
In 7.067 1.253 1.449
Cu 0.504 3.759 1.116
Cu 0.559 0.005 3.277
Cu 0.559 2.501 3.277
Cu 0.698 1.253 5.417
Cu 1.485 1.253 7.810
Cu 2.619 3.759 2.571
Cu 3.406 3.759 0.178
Cu 3.545 2.511 8.516
Cu 3.545 5.007 8.516
Cu 3.600 1.253 6.354
Cu 4.608 3.759 4.123
Cu 4.663 0.005 1.962
Cu 4.663 2.501 1.962
Cu 4.802 1.253 10.299
Cu 5.589 1.253 7.906
Cu 6.723 3.759 2.668
Cu 7.510 3.759 5.061
Cu 7.649 2.511 7.200
Cu 7.649 5.007 7.200
Cu 7.704 1.253 9.362

# 9
4
Lattice="0.000 3.599 3.599 3.599 0.000 3.599 3.599 3.599 0.000" Properties=species:S:1:pos:R:3 comment="Tl2InCu SCAN PBEsol geometry" delta_e_f_ev_per_atom=0.37 space_group=F-43m pbc="T T T"
Tl 0.000 0.000 0.000
Tl 1.799 1.799 1.799
In 5.398 5.398 5.398
Cu 3.599 3.599 3.599

# 10
5
Lattice="5.631 0.000 0.000 0.000 5.631 0.000 0.000 0.000 5.631" Properties=species:S:1:pos:R:3 comment="Tl3InCu SCAN PBEsol geometry" delta_e_f_ev_per_atom=0.75 space_group=Pm-3m pbc="T T T"
Tl 0.000 0.000 2.816
Tl 0.000 2.816 0.000
Tl 2.816 0.000 0.000
In 0.000 0.000 0.000
Cu 2.816 2.816 2.816

# 11
4
Lattice="-2.253 2.253 4.500 2.253 -2.253 4.500 2.253 2.253 -4.500" Properties=species:S:1:pos:R:3 comment="Tl2InCu SCAN PBEsol geometry" delta_e_f_ev_per_atom=0.34 space_group=I-4m2 pbc="T T T"
Tl 0.000 0.000 0.000
Tl 0.000 2.253 2.250
In 2.253 0.000 2.250
Cu 0.000 0.000 4.500

# 12
4
Lattice="0.000 3.232 3.232 3.232 0.000 3.232 3.232 3.232 0.000" Properties=species:S:1:pos:R:3 comment="TmInCu2 SCAN PBEsol geometry" delta_e_f_ev_per_atom=-0.39 space_group=Fm-3m pbc="T T T"
Tm 0.000 0.000 0.000
In 3.232 3.232 3.232
Cu 1.616 1.616 1.616
Cu 4.848 4.848 4.848

# 13
3
Lattice="2.867 0.000 0.000 -1.434 2.483 0.000 0.000 0.000 6.786" Properties=species:S:1:pos:R:3 comment="InCuW SCAN PBEsol geometry" delta_e_f_ev_per_atom=0.53 space_group=P3m1 pbc="T T T"
In 0.000 0.000 0.000
Cu 1.434 0.828 2.257
W 0.000 1.655 4.342

# 14
4
Lattice="2.876 0.000 0.000 0.000 2.876 0.000 0.000 0.000 8.284" Properties=species:S:1:pos:R:3 comment="In2CuW SCAN PBEsol geometry" delta_e_f_ev_per_atom=0.52 space_group=P4/mmm pbc="T T T"
In 0.000 0.000 1.959
In 0.000 0.000 6.325
Cu 1.438 1.438 0.000
W 1.438 1.438 4.142

# 15
4
Lattice="-1.501 2.331 4.964 1.501 -2.331 4.964 1.501 2.331 -4.964" Properties=species:S:1:pos:R:3 comment="In2CuW SCAN PBEsol geometry" delta_e_f_ev_per_atom=0.50 space_group=Imm2 pbc="T T T"
In 0.000 0.000 0.000
In 0.000 2.331 2.183
Cu 0.000 0.000 4.745
W 1.501 0.000 2.609

# 16
4
Lattice="4.703 -1.444 0.000 4.703 1.444 0.000 -1.245 0.000 5.094" Properties=species:S:1:pos:R:3 comment="In2CuW SCAN PBEsol geometry" delta_e_f_ev_per_atom=0.59 space_group=C2/m pbc="T T T"
In 1.956 0.000 1.246
In 6.205 0.000 3.848
Cu 4.703 0.000 0.000
W -0.622 0.000 2.547

# 17
4
Lattice="-1.942 1.942 4.567 1.942 -1.942 4.567 1.942 1.942 -4.567" Properties=species:S:1:pos:R:3 comment="In2CuW SCAN PBEsol geometry" delta_e_f_ev_per_atom=0.57 space_group=I-4m2 pbc="T T T"
In 0.000 0.000 0.000
In 0.000 1.942 2.284
Cu 1.942 0.000 2.284
W 0.000 0.000 4.567

# 18
13
Lattice="-2.669 4.532 4.570 2.669 -4.532 4.570 2.669 4.532 -4.570" Properties=species:S:1:pos:R:3 comment="YIn6Cu6 SCAN PBEsol geometry" delta_e_f_ev_per_atom=-0.19 space_group=Immm pbc="T T T"
Y 0.000 0.000 0.000
In 2.669 0.000 1.656
In 0.000 3.055 0.000
In 0.000 0.000 3.127
In 0.000 0.000 6.013
In 0.000 6.010 0.000
In 0.000 4.532 2.914
Cu 1.335 2.266 -2.285
Cu 1.335 -2.266 2.285
Cu 2.669 2.145 0.000
Cu -1.335 2.266 2.285
Cu 1.335 2.266 2.285
Cu 0.000 2.388 4.570

# 19
13
Lattice="-2.755 4.644 4.619 2.755 -4.644 4.619 2.755 4.644 -4.619" Properties=species:S:1:pos:R:3 comment="YIn7Cu5 SCAN PBEsol geometry" delta_e_f_ev_per_atom=-0.13 space_group=Imm2 pbc="T T T"
Y 0.000 0.000 0.000
In 2.755 1.769 -0.127
In 2.755 0.000 2.140
In 0.000 0.000 3.192
In 0.000 3.133 0.121
In 0.000 0.000 6.132
In 0.000 6.155 0.121
In 0.000 2.875 4.492
Cu 1.419 2.375 2.308
Cu 4.091 2.375 2.308
Cu 0.000 4.644 2.432
Cu -1.336 2.269 6.926
Cu 1.336 2.269 6.926

# 20
10
Lattice="7.390 0.000 0.000 0.000 7.390 0.000 0.000 0.000 3.723" Properties=species:S:1:pos:R:3 comment="Y2InCu2 SCAN PBEsol geometry" delta_e_f_ev_per_atom=-0.50 space_group=P4/mbm pbc="T T T"
Y 1.282 2.413 0.000
Y 2.413 6.108 0.000
Y 4.977 1.282 0.000
Y 6.108 4.977 0.000
In 0.000 0.000 1.862
In 3.695 3.695 1.862
Cu 0.889 4.584 1.862
Cu 2.806 0.889 1.862
Cu 4.584 6.501 1.862
Cu 6.501 2.806 1.862